This record from the Alexandria database describes an optimized crystal structure of Nd4CuSe2Cl. The functional is PBE.

a = 7.328 Å, b = 4.087 Å, c = 7.358 Å
α = 90.00°, β = 108.28°, γ = 90.00°
Fractional coordinates of all 8 atoms:
1 Nd 0.238 0.000 0.246
2 Nd 0.239 0.500 0.740
3 Nd 0.761 0.500 0.260
4 Nd 0.762 0.000 0.754
5 Cu 0.000 0.000 0.500
6 Se 0.000 0.500 0.000
7 Se 0.500 0.000 0.000
8 Cl 0.500 0.500 0.500

- E: -42.540 eV per cell
- Energy relative to the elements, uncorrected: -1.320 eV per atom